Record 1
NdGdCo2Ge4: optimized geometry, PBE-GGA.

```
NdGdCo2Ge4
1.0
4.184 0.000 0.000
0.000 2.096 8.329
0.000 -2.096 8.329
Co Gd Ge Nd
2 1 4 1
Cartesian
0.000 0.000 3.029
2.092 0.000 13.638
0.000 0.000 6.507
0.000 0.000 0.740
2.092 0.000 4.171
0.000 0.000 12.513
2.092 0.000 15.899
2.092 0.000 10.134
```

Calculated values
For the density, the calculation gives 8.1 g cm⁻³. As for the volume: 18.26 A^3/atom. The space group is No. 38. The value obtained for the electronic total energy is -5.9223 eV per atom.


Record 2
NdGdCo2Ge4: optimized geometry, PBE-GGA.

```
NdGdCo2Ge4
1.0
4.209 0.000 0.000
0.000 4.206 0.000
-2.055 0.000 8.305
Co Gd Ge Nd
2 1 4 1
Cartesian
2.104 0.000 3.036
0.060 2.103 5.285
2.105 0.000 6.482
2.162 0.000 0.737
2.157 2.103 4.159
0.005 0.000 4.177
-0.018 2.103 7.546
0.041 2.103 1.799
```

Calculated values
For the density, the calculation gives 8.0 g cm⁻³. As for the volume: 18.38 A^3/atom. The space group is No. 6. The value obtained for the electronic total energy is -5.9229 eV per atom.


Record 3
NdGdCo2Ge2: optimized geometry, PBE-GGA.

```
NdGdCo2Ge2
1.0
-0.159 -3.368 -2.381
4.001 -0.704 0.729
-1.636 -3.725 5.380
Co Gd Ge Nd
2 1 2 1
Cartesian
-0.084 -1.695 -1.174
1.996 -0.363 0.381
-0.500 -1.139 1.644
1.604 -2.758 0.217
-1.329 -3.025 4.369
0.805 -4.578 2.846
```

Calculated values
For the density, the calculation gives 8.2 g cm⁻³. As for the volume: 19.15 A^3/atom. The space group is No. 99. The value obtained for the electronic total energy is -6.1035 eV per atom.


Record 4
GdCoNiGe2: optimized geometry, PBE-GGA.

```
GdCoNiGe2
1.0
-2.020 2.020 5.014
2.020 -2.020 5.014
2.020 2.020 -5.014
Co Gd Ge Ni
1 1 2 1
Cartesian
0.000 0.000 5.014
2.020 0.000 2.507
0.000 2.020 1.222
0.000 2.020 3.792
0.000 0.000 0.000
```

Calculated values
For the density, the calculation gives 8.5 g cm⁻³. As for the volume: 16.36 A^3/atom. The space group is No. 119. The value obtained for the electronic total energy is -5.9618 eV per atom.


Record 5
GdCo2GeP: optimized geometry, PBE-GGA.

```
GdCo2GeP
1.0
-1.962 1.962 4.885
1.962 -1.962 4.885
1.962 1.962 -4.885
Co Gd Ge P
2 1 1 1
Cartesian
0.000 1.962 2.372
1.962 0.000 2.372
0.000 0.000 0.050
0.000 0.000 3.655
0.000 0.000 6.205
```

Calculated values
For the density, the calculation gives 8.4 g cm⁻³. As for the volume: 15.04 A^3/atom. The space group is No. 107. The value obtained for the electronic total energy is -6.6113 eV per atom.


Record 6
GdCoGe2Pd: optimized geometry, PBE-GGA.

```
GdCoGe2Pd
1.0
-2.063 2.063 5.141
2.063 -2.063 5.141
2.063 2.063 -5.141
Co Gd Ge Pd
1 1 2 1
Cartesian
2.063 0.000 2.570
0.000 0.000 0.000
0.000 0.000 3.884
0.000 0.000 6.397
0.000 2.063 2.570
```

Calculated values
For the density, the calculation gives 8.9 g cm⁻³. As for the volume: 17.51 A^3/atom. The space group is No. 119. The value obtained for the electronic total energy is -5.9045 eV per atom.


Record 7
Gd2Co2SiGe: optimized geometry, PBE-GGA.

```
Gd2Co2SiGe
1.0
-0.142 4.031 0.206
-4.031 -0.132 -0.209
-0.335 -0.354 6.687
Co Gd Ge Si
2 2 1 1
Cartesian
-0.073 2.013 0.142
-2.018 -0.068 -0.066
-0.105 -0.111 2.100
-2.317 1.707 4.581
-0.270 -0.285 5.386
-2.148 1.885 1.225
```

Calculated values
For the density, the calculation gives 8.1 g cm⁻³. As for the volume: 18.23 A^3/atom. The space group is No. 99. The value obtained for the electronic total energy is -6.2833 eV per atom.


Record 8
GdCo2SiGe: optimized geometry, PBE-GGA.

```
GdCo2SiGe
1.0
-1.963 1.963 5.000
1.963 -1.963 5.000
1.963 1.963 -5.000
Co Gd Ge Si
2 1 1 1
Cartesian
0.000 1.963 2.452
1.963 0.000 2.452
0.000 0.000 0.020
0.000 0.000 3.749
0.000 0.000 6.326
```

Calculated values
For the density, the calculation gives 8.1 g cm⁻³. As for the volume: 15.41 A^3/atom. The space group is No. 107. The value obtained for the electronic total energy is -6.5003 eV per atom.